Density functional theory data (GGA-PBE) for Pr2DyC2I2 after structural relaxation.

Cell: 4.538 4.538 10.299 Å, 102.73 102.73 90.00°
Atoms (fractional coordinates):
1 Pr 0.419 0.419 0.837
2 Pr 0.581 0.581 0.163
3 Dy 0.000 0.000 0.000
4 C 0.000 0.500 0.000
5 C 0.500 0.000 0.000
6 I 0.166 0.166 0.332
7 I 0.834 0.834 0.668

Output
Energy relative to the elements, uncorrected = -0.493 eV/atom
Crystal system = tetragonal

***

Density functional theory data (GGA-PBE) for LaPBrN2 after structural relaxation.

Cell: 3.863 5.818 8.553 Å, 103.06 90.00 90.00°
Atoms (fractional coordinates):
1 La 0.750 0.869 0.256
2 La 0.250 0.131 0.744
3 P 0.750 0.570 0.595
4 P 0.250 0.430 0.405
5 Br 0.750 0.255 0.041
6 Br 0.250 0.745 0.959
7 N 0.250 0.621 0.303
8 N 0.250 0.155 0.379
9 N 0.750 0.845 0.621
10 N 0.750 0.379 0.697

Output
Energy relative to the elements, uncorrected = -0.905 eV/atom
Crystal system = monoclinic

***

Density functional theory data (GGA-PBE) for LiCe3Pb4 after structural relaxation.

Cell: 6.642 6.631 10.345 Å, 90.00 90.00 90.00°
Each line ends with the local moment (μB).
Atoms (fractional coordinates):
1 Li 0.185 0.500 0.000  0.00
2 Li 0.685 0.500 0.500  0.00
3 Ce 0.703 0.013 0.000  0.97
4 Ce 0.937 0.762 0.251  0.89
5 Ce 0.437 0.238 0.249  0.89
6 Ce 0.203 0.987 0.500  0.97
7 Ce 0.437 0.238 0.751  0.89
8 Ce 0.937 0.762 0.749  0.89
9 Pb 0.196 0.996 0.000  -0.01
10 Pb 0.687 0.507 0.000  0.00
11 Pb 0.936 0.261 0.260  -0.01
12 Pb 0.436 0.739 0.240  -0.01
13 Pb 0.187 0.493 0.500  0.00
14 Pb 0.696 0.004 0.500  -0.01
15 Pb 0.436 0.739 0.760  -0.01
16 Pb 0.936 0.261 0.740  -0.01

Output
Formation energy = -2.67 eV per formula unit
ΔE to the lowest computed polymorph = 0 meV/atom
Crystal system = orthorhombic